A plane-wave DFT calculation with PBE was carried out for a relaxed Zr2AgHOs crystal.

a b c (Å): 4.648 4.648 3.637
angles (deg): 90.00 90.00 90.00
Atoms (fractional coordinates):
1 H 0.000 0.000 0.000
2 Os 0.000 0.000 0.500
3 Zr 0.000 0.500 0.000
4 Zr 0.500 0.000 0.000
5 Ag 0.500 0.500 0.500

Computed properties:
D(E_F), states/eV/cell: 5.5
Final energy, eV/atom: -7.064
Total moment, μB per cell: 0.00